This record from the Alexandria database describes a relaxed structure of KGeIr3. The functional is GGA-PBE.

- DFT formation energy: 3.004 eV per atom
- Total moment: 0.204 μB/atom
- Density of states at the Fermi level: 7.0 states/eV per cell
- Polymorph energy (0 for the lowest one): 193.54 kJ per mole of atoms

Cell and atoms, written as CIF:
```
data_KGeIr3
_cell_length_a 4.7525
_cell_length_b 4.7525
_cell_length_c 4.7525
_cell_angle_alpha 90.00
_cell_angle_beta 90.00
_cell_angle_gamma 90.00
_space_group_name_H-M_alt 'P m -3 m'
_space_group_IT_number 221
_space_group_name_Hall '-P 4 2 3'
loop_
_atom_site_label
_atom_site_fract_x
_atom_site_fract_y
_atom_site_fract_z
K1 0.0000 0.0000 0.0000
Ge1 0.5000 0.5000 0.5000
Ir1 0.0000 0.0000 0.5000
```

This record from the Alexandria database describes a relaxed structure of CuSeCl2. The functional is GGA-PBE.

- Total moment: 0.000 μB/atom
- Density of states at the Fermi level: 1.8 states/eV per cell
- Formation energy without anion corrections: 0.15 eV per atom
- Polymorph energy (0 for the lowest one): 43.20 kJ per mole of atoms

Cell and atoms, written as CIF:
```
data_CuSeCl2
_cell_length_a 3.5637
_cell_length_b 3.6494
_cell_length_c 7.4191
_cell_angle_alpha 90.00
_cell_angle_beta 90.00
_cell_angle_gamma 90.00
_space_group_name_H-M_alt 'P m m m'
_space_group_IT_number 47
loop_
_space_group_symop_operation_xyz
'x,y,z'
'-x,-y,-z'
'-x,-y,z'
'x,y,-z'
'x,-y,-z'
'-x,y,z'
'-x,y,-z'
'x,-y,z'
loop_
_atom_site_label
_atom_site_fract_x
_atom_site_fract_y
_atom_site_fract_z
Cu1 0.0000 0.0000 0.0000
Se1 0.5000 0.0000 0.5000
Cl1 0.0000 0.5000 0.5000
Cl2 0.5000 0.5000 0.0000
```